No. 1
## K4NpS2ClO10 (PBE)

Data for crystalline K4NpS2ClO10 at its relaxed geometry.

The structure in POSCAR format:
```
K4NpS2ClO10
1.0
4.578 0.000 0.000
0.000 10.282 0.009
0.000 6.925 14.207
K Np S Cl O
8 2 4 2 20
Direct
0.230 0.833 0.607 K
0.770 0.569 0.870 K
0.770 0.833 0.107 K
0.770 0.167 0.393 K
0.230 0.431 0.130 K
0.770 0.431 0.630 K
0.230 0.167 0.893 K
0.230 0.569 0.370 K
0.730 0.000 0.750 Np
0.270 0.000 0.250 Np
0.344 0.201 0.569 S
0.656 0.799 0.431 S
0.656 0.201 0.069 S
0.344 0.799 0.931 S
0.262 0.500 0.750 Cl
0.738 0.500 0.250 Cl
0.260 0.834 0.008 O
0.330 0.187 0.083 O
0.270 0.850 0.214 O
0.330 0.813 0.417 O
0.773 0.087 0.163 O
0.740 0.834 0.508 O
0.670 0.187 0.583 O
0.740 0.166 0.992 O
0.227 0.913 0.837 O
0.749 0.347 0.053 O
0.251 0.653 0.947 O
0.749 0.653 0.447 O
0.773 0.913 0.337 O
0.227 0.087 0.663 O
0.260 0.166 0.492 O
0.730 0.850 0.714 O
0.251 0.347 0.553 O
0.730 0.150 0.786 O
0.270 0.150 0.286 O
0.670 0.813 0.917 O
```

Properties
uncorrected formation energy = -2.0504 eV/atom
V = 18.57 Å³/atom
crystal system = monoclinic

No. 2
## Mg5Ti13O30 (PBE)

Data for crystalline Mg5Ti13O30 at its relaxed geometry.

The structure in POSCAR format:
```
Mg5Ti13O30
1.0
10.119 0.000 0.000
0.000 5.256 0.010
0.000 1.170 10.577
Mg Ti O
5 13 30
Direct
0.000 0.324 0.065 Mg
0.500 0.338 0.269 Mg
0.500 0.011 0.600 Mg
0.000 0.993 0.397 Mg
0.500 0.671 0.936 Mg
0.683 0.225 0.045 Ti
0.317 0.225 0.045 Ti
0.181 0.444 0.289 Ti
0.819 0.444 0.289 Ti
0.188 0.111 0.619 Ti
0.812 0.111 0.619 Ti
0.683 0.887 0.376 Ti
0.318 0.561 0.713 Ti
0.317 0.887 0.376 Ti
0.682 0.561 0.713 Ti
0.000 0.658 0.733 Ti
0.188 0.779 0.958 Ti
0.812 0.779 0.958 Ti
0.864 0.075 0.015 O
0.136 0.075 0.015 O
0.311 0.145 0.229 O
0.689 0.145 0.229 O
0.500 0.361 0.074 O
0.500 0.028 0.406 O
0.000 0.303 0.259 O
0.184 0.524 0.103 O
0.816 0.524 0.103 O
0.818 0.192 0.440 O
0.182 0.192 0.440 O
0.637 0.589 0.318 O
0.363 0.589 0.318 O
0.639 0.260 0.652 O
0.361 0.260 0.652 O
0.863 0.743 0.349 O
0.137 0.743 0.349 O
0.870 0.415 0.684 O
0.130 0.415 0.684 O
0.315 0.478 0.895 O
0.689 0.816 0.563 O
0.311 0.816 0.563 O
0.685 0.478 0.895 O
0.500 0.699 0.738 O
0.000 0.952 0.599 O
0.000 0.627 0.918 O
0.181 0.849 0.770 O
0.819 0.849 0.770 O
0.637 0.924 0.984 O
0.363 0.924 0.984 O
```

Properties
uncorrected formation energy = -2.9883 eV/atom
V = 11.72 Å³/atom
crystal system = monoclinic

No. 3
## CrTc2Rh (PBE)

Data for crystalline CrTc2Rh at its relaxed geometry.

The structure in POSCAR format:
```
CrTc2Rh
1.0
-7.538 -3.230 -3.365
-5.798 -4.957 -4.515
-6.715 -5.426 -2.011
Cr Rh Tc
1 1 2
Direct
0.250 0.250 0.250 Cr
0.750 0.750 0.750 Rh
0.997 0.997 0.997 Tc
0.503 0.503 0.503 Tc
```

Properties
energy of formation from the pure elements = 0.093 eV/atom
distance to the lowest polymorph of the same formula = 0.076 eV/atom
V = 13.85 Å³/atom
crystal system = trigonal

No. 4
## Y4Sc3S8 (PBE)

Data for crystalline Y4Sc3S8 at its relaxed geometry.

The structure in POSCAR format:
```
Y4Sc3S8
1.0
6.719 -0.153 -3.689
-4.338 6.276 -0.197
-0.181 0.108 7.629
Y Sc S
4 3 8
Direct
0.500 0.000 0.000 Y
0.000 0.500 0.000 Y
0.000 0.000 0.000 Y
0.000 0.000 0.500 Y
0.500 0.500 0.000 Sc
0.500 0.000 0.500 Sc
0.500 0.500 0.500 Sc
0.509 0.260 0.260 S
0.000 0.746 0.254 S
0.011 0.260 0.260 S
0.500 0.745 0.255 S
0.500 0.255 0.745 S
0.989 0.740 0.740 S
0.000 0.254 0.746 S
0.491 0.740 0.740 S
```

Properties
uncorrected formation energy = -1.9704 eV/atom
V = 20.95 Å³/atom
crystal system = monoclinic

The highest V belongs to which entry? Y4Sc3S8